Entry 1:
# CdPtW (PBE, relaxed)
data_CdPtW
_cell_length_a 6.153
_cell_length_b 6.153
_cell_length_c 6.153
_cell_angle_alpha 90.00
_cell_angle_beta 90.00
_cell_angle_gamma 90.00
_symmetry_space_group_name_H-M 'F -4 3 m'
_symmetry_Int_Tables_number 216
_symmetry_space_group_name_Hall 'F -4 2 3'
loop_
_atom_site_label
_atom_site_type_symbol
_atom_site_fract_x
_atom_site_fract_y
_atom_site_fract_z
Cd1 Cd 0.000 0.000 0.000
Pt1 Pt 0.250 0.250 0.250
W1 W 0.000 0.000 0.500
# E_form ... 360 meV per atom
# Mass density ... 14.0 Mg/m³
# Final energy ... -75.3 eV per cell
# Total moment ... 0.005 μB/f.u.

Entry 2:
# CdPt6W (PBE, relaxed)
data_CdPt6W
_cell_length_a 4.013
_cell_length_b 4.013
_cell_length_c 7.979
_cell_angle_alpha 90.00
_cell_angle_beta 90.00
_cell_angle_gamma 90.00
_symmetry_space_group_name_H-M 'P 4/m m m'
_symmetry_Int_Tables_number 123
_symmetry_space_group_name_Hall '-P 4 2'
loop_
_atom_site_label
_atom_site_type_symbol
_atom_site_fract_x
_atom_site_fract_y
_atom_site_fract_z
Cd1 Cd 0.000 0.000 0.000
Pt1 Pt 0.000 0.500 0.264
Pt2 Pt 0.500 0.500 0.000
Pt3 Pt 0.500 0.500 0.500
W1 W 0.000 0.000 0.500
# E_form ... -284 meV per atom
# Mass density ... 19.0 Mg/m³
# Final energy ... -52.5 eV per cell
# Total moment ... 0.091 μB/f.u.

Entry 3:
# YCdPt2 (PBE, relaxed)
data_YCdPt2
_cell_length_a 4.600
_cell_length_b 4.600
_cell_length_c 3.679
_cell_angle_alpha 90.00
_cell_angle_beta 90.00
_cell_angle_gamma 90.00
_symmetry_space_group_name_H-M 'P 4/m m m'
_symmetry_Int_Tables_number 123
_symmetry_space_group_name_Hall '-P 4 2'
loop_
_atom_site_label
_atom_site_type_symbol
_atom_site_fract_x
_atom_site_fract_y
_atom_site_fract_z
Y1 Y 0.000 0.000 0.000
Cd1 Cd 0.500 0.500 0.000
Pt1 Pt 0.000 0.500 0.500
# E_form ... -782 meV per atom
# Mass density ... 12.6 Mg/m³
# Final energy ... -22.6 eV per cell
# Total moment ... 0.000 μB/f.u.

Entry 4:
# YCdPt2 (PBE, relaxed)
data_YCdPt2
_cell_length_a 3.579
_cell_length_b 3.579
_cell_length_c 6.079
_cell_angle_alpha 90.00
_cell_angle_beta 90.00
_cell_angle_gamma 90.00
_symmetry_space_group_name_H-M 'P 4/m m m'
_symmetry_Int_Tables_number 123
_symmetry_space_group_name_Hall '-P 4 2'
loop_
_atom_site_label
_atom_site_type_symbol
_atom_site_fract_x
_atom_site_fract_y
_atom_site_fract_z
Y1 Y 0.000 0.000 0.000
Cd1 Cd 0.000 0.000 0.500
Pt1 Pt 0.500 0.500 0.260
# E_form ... -834 meV per atom
# Mass density ... 12.6 Mg/m³
# Final energy ... -22.8 eV per cell
# Total moment ... 0.004 μB/f.u.

Entry 5:
# YCdPt (PBE, relaxed)
data_YCdPt
_cell_length_a 6.768
_cell_length_b 6.768
_cell_length_c 6.768
_cell_angle_alpha 90.00
_cell_angle_beta 90.00
_cell_angle_gamma 90.00
_symmetry_space_group_name_H-M 'F -4 3 m'
_symmetry_Int_Tables_number 216
_symmetry_space_group_name_Hall 'F -4 2 3'
loop_
_atom_site_label
_atom_site_type_symbol
_atom_site_fract_x
_atom_site_fract_y
_atom_site_fract_z
Y1 Y 0.000 0.000 0.000
Cd1 Cd 0.250 0.250 0.750
Pt1 Pt 0.250 0.250 0.250
# E_form ... -278 meV per atom
# Mass density ... 8.5 Mg/m³
# Final energy ... -57.0 eV per cell
# Total moment ... 0.003 μB/f.u.

Entry 6:
# Y3CdPt8 (PBE, relaxed)
data_Y3CdPt8
_cell_length_a 5.4228
_cell_length_b 5.4228
_cell_length_c 26.6115
_cell_angle_alpha 90.00
_cell_angle_beta 90.00
_cell_angle_gamma 120.00
_symmetry_space_group_name_H-M 'R 3 m'
_symmetry_Int_Tables_number 160
_symmetry_space_group_name_Hall 'R 3 -2"'
loop_
_atom_site_label
_atom_site_type_symbol
_atom_site_fract_x
_atom_site_fract_y
_atom_site_fract_z
Y1 Y 0.0000 0.0000 0.0000
Y2 Y 0.0000 0.0000 0.1282
Y3 Y 0.0000 0.0000 0.6152
Cd1 Cd 0.0000 0.0000 0.4937
Pt1 Pt 0.0000 0.0000 0.3102
Pt2 Pt 0.0000 0.0000 0.8102
Pt3 Pt 0.0028 0.5014 0.5610
Pt4 Pt 0.1671 0.3342 0.3923
# E_form ... -960 meV per atom
# Mass density ... 14.3 Mg/m³
# Final energy ... -240.8 eV per cell
# Total moment ... 0.005 μB/f.u.

Entry 7:
# YCdPt (PBE, relaxed)
data_YCdPt
_cell_length_a 6.665
_cell_length_b 6.665
_cell_length_c 6.665
_cell_angle_alpha 90.00
_cell_angle_beta 90.00
_cell_angle_gamma 90.00
_symmetry_space_group_name_H-M 'F -4 3 m'
_symmetry_Int_Tables_number 216
_symmetry_space_group_name_Hall 'F -4 2 3'
loop_
_atom_site_label
_atom_site_type_symbol
_atom_site_fract_x
_atom_site_fract_y
_atom_site_fract_z
Y1 Y 0.000 0.000 0.000
Cd1 Cd 0.000 0.000 0.500
Pt1 Pt 0.250 0.250 0.750
# E_form ... -778 meV per atom
# Mass density ... 8.9 Mg/m³
# Final energy ... -63.0 eV per cell
# Total moment ... 0.002 μB/f.u.

Entry 8:
# YCdPt2 (PBE, relaxed)
data_YCdPt2
_cell_length_a 6.785
_cell_length_b 6.785
_cell_length_c 6.785
_cell_angle_alpha 90.00
_cell_angle_beta 90.00
_cell_angle_gamma 90.00
_symmetry_space_group_name_H-M 'F -4 3 m'
_symmetry_Int_Tables_number 216
_symmetry_space_group_name_Hall 'F -4 2 3'
loop_
_atom_site_label
_atom_site_type_symbol
_atom_site_fract_x
_atom_site_fract_y
_atom_site_fract_z
Y1 Y 0.000 0.000 0.000
Cd1 Cd 0.250 0.250 0.250
Pt1 Pt 0.000 0.000 0.500
Pt2 Pt 0.250 0.250 0.750
# E_form ... -590 meV per atom
# Mass density ... 12.6 Mg/m³
# Final energy ... -87.3 eV per cell
# Total moment ... 0.011 μB/f.u.